{"formula": "Tm6OsRh2", "functional": "PBE-GGA", "state": "optimized geometry", "cell": [[-4.6081, 4.6482, 4.8572], [4.6081, -4.6482, 4.8572], [4.6081, 4.6482, -4.8572]], "species": ["Tm", "Tm", "Tm", "Tm", "Tm", "Tm", "Tm", "Tm", "Tm", "Tm", "Tm", "Tm", "Os", "Os", "Rh", "Rh", "Rh", "Rh"], "fractional_positions": [[0.0548, 0.2412, 0.8136], [0.1692, 0.4706, 0.3015], [0.1692, 0.8677, 0.6985], [0.3251, 0.2390, 0.5641], [0.3251, 0.7610, 0.0861], [0.4275, 0.2412, 0.1864], [0.5725, 0.7588, 0.8136], [0.6749, 0.2390, 0.9139], [0.6749, 0.7610, 0.4359], [0.8308, 0.1323, 0.3015], [0.8308, 0.5294, 0.6985], [0.9452, 0.7588, 0.1864], [0.0000, 0.0000, 0.0000], [0.5000, 0.5000, 0.0000], [0.1624, 0.5000, 0.6624], [0.3688, 0.8688, 0.5000], [0.6312, 0.1312, 0.5000], [0.8376, 0.5000, 0.3376]], "formation_enthalpy_0k_kcal_per_mol_atoms": -12.4}